Entry 1:
VASP calculation (PBE) on an optimized crystal structure of K2NaHg.

Cell: 4.684 6.080 6.080 Å, 90.00 90.00 90.00°
Positions (direct):
1 Na 0.500 0.000 0.000
2 Hg 0.500 0.500 0.500
3 K 0.000 0.500 0.000
4 K 0.000 0.000 0.500

Its energy of formation is -0.4 eV/f.u. As for the offset from the most stable computed form: 37 meV/atom. The space-group type is No. 123. The value obtained for the total energy is -4.2 eV for the cell shown.

Entry 2:
VASP calculation (PBE) on an optimized crystal structure of KNaHg2.

Cell: 7.453 7.453 7.453 Å, 151.28 58.12 130.64°
Positions (direct):
1 K 0.500 0.000 0.500
2 Hg 0.766 0.000 0.766
3 Hg 0.234 0.000 0.234
4 Na 0.000 0.000 0.000

Its energy of formation is 0.1 eV/f.u. As for the offset from the most stable computed form: 269 meV/atom. The space-group type is No. 71. The value obtained for the total energy is -2.9 eV for the cell shown.

Entry 3:
VASP calculation (PBE) on an optimized crystal structure of K4Na3Hg.

Cell: 4.583 5.922 14.605 Å, 90.00 90.00 90.00°
Positions (direct):
1 Na 0.000 0.000 0.431
2 Na 0.000 0.500 0.563
3 Na 0.500 0.000 0.946
4 K 0.000 0.500 0.864
5 K 0.500 0.000 0.668
6 K 0.000 0.000 0.146
7 K 0.500 0.500 0.319
8 Hg 0.500 0.500 0.062

Its energy of formation is -0.3 eV/f.u. The space-group type is No. 25. The value obtained for the total energy is -9.0 eV for the cell shown.

Entry 4:
VASP calculation (PBE) on an optimized crystal structure of K2Na3Hg6.

Cell: 4.657 9.074 9.074 Å, 100.06 90.00 90.00°
Positions (direct):
1 Na 0.500 0.000 0.000
2 Na 0.000 0.203 0.203
3 Na 0.000 0.797 0.797
4 Hg 0.500 0.347 0.028
5 Hg 0.500 0.972 0.653
6 Hg 0.500 0.028 0.347
7 Hg 0.500 0.653 0.972
8 Hg 0.500 0.375 0.375
9 Hg 0.500 0.625 0.625
10 K 0.000 0.700 0.300
11 K 0.000 0.300 0.700

Its energy of formation is -2.1 eV/f.u. The space-group type is No. 65. The value obtained for the total energy is -10.1 eV for the cell shown.

Entry 5:
VASP calculation (PBE) on an optimized crystal structure of K2NaHg.

Cell: 5.739 7.333 9.480 Å, 78.81 72.38 66.97°
Positions (direct):
1 K 0.202 0.235 0.362
2 K 0.436 0.442 0.686
3 K 0.818 0.838 0.526
4 K 0.817 0.342 0.023
5 Na 0.561 0.933 0.944
6 Na 0.072 0.749 0.107
7 Hg 0.126 0.990 0.757
8 Hg 0.510 0.687 0.293

Its energy of formation is -0.5 eV/f.u. As for the offset from the most stable computed form: 0 meV/atom. The space-group type is No. 8. The value obtained for the total energy is -8.7 eV for the cell shown.

Entry 6:
VASP calculation (PBE) on an optimized crystal structure of K10NaHg3.

Cell: 12.997 12.997 12.997 Å, 60.00 60.00 60.00°
Positions (direct):
1 K 0.336 0.664 0.000
2 K 0.382 0.853 0.382
3 K 0.618 0.618 0.147
4 K 0.000 0.000 0.336
5 K 0.336 0.000 0.664
6 K 0.618 0.618 0.618
7 K 0.382 0.382 0.382
8 K 0.618 0.147 0.618
9 K 0.000 0.336 0.000
10 K 0.382 0.382 0.853
11 K 0.147 0.618 0.618
12 K 0.000 0.000 0.664
13 K 0.853 0.382 0.382
14 K 0.664 0.000 0.000
15 K 0.664 0.000 0.336
16 K 0.664 0.336 0.000
17 K 0.000 0.664 0.336
18 K 0.000 0.336 0.664
19 K 0.336 0.000 0.000
20 K 0.000 0.664 0.000
21 Hg 0.730 0.270 0.730
22 Hg 0.270 0.730 0.730
23 Hg 0.270 0.730 0.270
24 Hg 0.730 0.730 0.270
25 Hg 0.270 0.270 0.730
26 Hg 0.730 0.270 0.270
27 Na 0.250 0.250 0.250
28 Na 0.750 0.750 0.750

Its energy of formation is -1.2 eV/f.u. The space-group type is No. 225. The value obtained for the total energy is -28.8 eV for the cell shown.

Entry 7:
VASP calculation (PBE) on an optimized crystal structure of K3Na5Hg3.

Cell: 6.752 9.505 9.505 Å, 120.00 90.00 90.00°
Positions (direct):
1 Na 0.500 0.260 0.000
2 Na 0.500 0.333 0.667
3 Na 0.500 0.000 0.260
4 Na 0.500 0.740 0.740
5 Na 0.500 0.667 0.333
6 Hg 0.500 0.374 0.374
7 Hg 0.500 0.000 0.626
8 Hg 0.500 0.626 0.000
9 K 0.000 0.640 0.000
10 K 0.000 0.360 0.360
11 K 0.000 0.000 0.640

Its energy of formation is -0.8 eV/f.u. The space-group type is No. 189. The value obtained for the total energy is -11.6 eV for the cell shown.

Entry 8:
VASP calculation (PBE) on an optimized crystal structure of K12Na2Hg5.

Cell: 9.832 9.832 10.299 Å, 76.63 76.63 79.32°
Positions (direct):
1 Na 0.305 0.695 0.000
2 Na 0.695 0.305 0.000
3 K 0.824 0.402 0.586
4 K 0.402 0.824 0.586
5 K 0.343 0.019 0.182
6 K 0.981 0.657 0.818
7 K 0.019 0.343 0.182
8 K 0.097 0.097 0.802
9 K 0.903 0.903 0.198
10 K 0.598 0.176 0.414
11 K 0.176 0.598 0.414
12 K 0.382 0.382 0.800
13 K 0.657 0.981 0.818
14 K 0.618 0.618 0.200
15 Hg 0.000 0.000 0.500
16 Hg 0.784 0.784 0.547
17 Hg 0.216 0.216 0.453
18 Hg 0.379 0.379 0.175
19 Hg 0.621 0.621 0.825

Its energy of formation is -2.3 eV/f.u. The space-group type is No. 12. The value obtained for the total energy is -19.6 eV for the cell shown.

Entry 9:
VASP calculation (PBE) on an optimized crystal structure of K3NaHg12.

Cell: 4.953 4.953 19.485 Å, 90.00 90.00 90.00°
Positions (direct):
1 Hg 0.500 0.500 0.761
2 Hg 0.500 0.000 0.371
3 Hg 0.500 0.000 0.112
4 Hg 0.000 0.500 0.629
5 Hg 0.500 0.500 0.500
6 Hg 0.000 0.500 0.112
7 Hg 0.500 0.500 0.239
8 Hg 0.000 0.500 0.371
9 Hg 0.500 0.000 0.629
10 Hg 0.500 0.000 0.888
11 Hg 0.500 0.500 0.000
12 Hg 0.000 0.500 0.888
13 Na 0.000 0.000 0.000
14 K 0.000 0.000 0.759
15 K 0.000 0.000 0.500
16 K 0.000 0.000 0.241

Its energy of formation is -3.2 eV/f.u. The space-group type is No. 123. The value obtained for the total energy is -11.4 eV for the cell shown.

Entry 10:
VASP calculation (PBE) on an optimized crystal structure of KNa2Hg4.

Cell: 6.314 6.503 6.503 Å, 76.37 60.96 60.96°
Positions (direct):
1 Hg 0.308 0.383 0.000
2 Hg 0.692 0.000 0.617
3 Hg 0.308 0.000 0.383
4 Hg 0.692 0.617 0.000
5 Na 0.250 0.500 0.500
6 Na 0.750 0.500 0.500
7 K 0.000 0.000 0.000

Its energy of formation is -1.8 eV/f.u. As for the offset from the most stable computed form: 0 meV/atom. The space-group type is No. 139. The value obtained for the total energy is -6.8 eV for the cell shown.

Entry 11:
VASP calculation (PBE) on an optimized crystal structure of K2NaHg.

Cell: 5.443 5.443 13.256 Å, 78.15 78.15 90.00°
Positions (direct):
1 Na 0.250 0.750 0.500
2 Na 0.500 0.500 0.000
3 K 0.107 0.625 0.250
4 K 0.643 0.125 0.250
5 K 0.875 0.893 0.750
6 K 0.375 0.357 0.750
7 Hg 0.750 0.250 0.500
8 Hg 0.000 0.000 0.000

Its energy of formation is 0.1 eV/f.u. As for the offset from the most stable computed form: 154 meV/atom. The space-group type is No. 122. The value obtained for the total energy is -7.4 eV for the cell shown.

Entry 12:
VASP calculation (PBE) on an optimized crystal structure of KNa6Hg5.

Cell: 5.384 7.980 9.210 Å, 115.66 104.72 89.99°
Positions (direct):
1 Na 0.176 0.453 0.355
2 Na 0.176 0.903 0.355
3 Na 0.500 0.289 0.000
4 Na 0.824 0.097 0.645
5 Na 0.500 0.711 0.000
6 Na 0.824 0.547 0.645
7 Hg 0.671 0.674 0.348
8 Hg 0.000 0.500 0.000
9 Hg 0.329 0.326 0.652
10 Hg 0.361 0.845 0.689
11 Hg 0.639 0.155 0.311
12 K 0.000 0.000 0.000

Its energy of formation is -2.3 eV/f.u. The space-group type is No. 12. The value obtained for the total energy is -12.9 eV for the cell shown.

- energy of formation of number 9 (K3NaHg12)?
  -3.2 eV/f.u.